12
Lattice="6.0212 0.0000 0.0000 0.0000 3.6645 0.0000 0.0000 0.0000 7.1038" Properties=species:S:1:pos:R:3 comment="PBE-GGA MnNiGe, optimized geometry" spacegroup="Pnma (62)" e_form_ev_per_atom=-0.26 pbc="T T T"
Mn 0.2087 0.9161 1.2680
Mn 2.8019 2.7484 4.8199
Mn 3.2192 0.9161 2.2839
Mn 5.8125 2.7484 5.8358
Ni 0.8483 0.9161 3.9724
Ni 2.1623 2.7484 0.4205
Ni 3.8589 0.9161 6.6833
Ni 5.1729 2.7484 3.1314
Ge 1.4951 2.7484 2.6502
Ge 1.5154 0.9161 6.2021
Ge 4.5057 2.7484 0.9017
Ge 4.5260 0.9161 4.4536